[1]
The following is a DFT calculation (GGA-PBE) of Tl3Pd4Pb after structural relaxation.

Properties
Energy of formation: -0.0380 eV per atom
Space group: Imm2, No. 44
Total magnetic moment: 0.0 μB/f.u.

Unit cell a=5.465 b=9.850 c=7.073 alpha=90.00 beta=90.00 gamma=90.00
Fractional positions:
1 Tl 0.000 0.000 0.000
2 Tl 0.000 0.268 0.690
3 Tl 0.000 0.732 0.690
4 Tl 0.500 0.232 0.190
5 Tl 0.500 0.500 0.500
6 Tl 0.500 0.768 0.190
7 Pd 0.000 0.236 0.298
8 Pd 0.000 0.764 0.298
9 Pd 0.250 0.000 0.361
10 Pd 0.250 0.500 0.861
11 Pd 0.500 0.264 0.798
12 Pd 0.500 0.736 0.798
13 Pd 0.750 0.000 0.361
14 Pd 0.750 0.500 0.861
15 Pb 0.000 0.500 0.202
16 Pb 0.500 0.000 0.702

[2]
The following is a DFT calculation (GGA-PBE) of Tb3Nd4Ge4 after structural relaxation.

Properties
Energy of formation: -0.6082 eV per atom
Space group: Immm, No. 71
Total magnetic moment: 0.0 μB/f.u.

Unit cell a=10.043 b=10.043 c=10.043 alpha=158.42 beta=127.44 gamma=57.46
Fractional positions:
1 Tb 0.000 0.000 0.000
2 Tb 0.407 0.907 0.500
3 Tb 0.593 0.093 0.500
4 Nd 0.004 0.330 0.674
5 Nd 0.344 0.670 0.674
6 Nd 0.656 0.330 0.326
7 Nd 0.996 0.670 0.326
8 Ge 0.276 0.500 0.776
9 Ge 0.279 0.279 0.000
10 Ge 0.721 0.721 0.000
11 Ge 0.724 0.500 0.224